Material: LiFeIO2
Method: DFT, PBE with a Hubbard U
State: relaxed

Structure (POSCAR):
```
LiFeIO2
1.0
-3.5533 -1.3740 -0.4123
0.7632 -2.7431 2.5645
-1.9905 3.7623 4.6168
Fe O I Li
1 2 1 1
Cartesian
0.0000 0.0000 0.0000
-1.7766 -0.6870 -0.2061
0.3816 -1.3716 1.2822
-0.9952 1.8812 2.3084
-2.3903 -0.1774 3.3845
```

Properties
The uncorrected energy comes out at -0.1679 hartree per atom. The calculation puts the volume at 92.2 Å³/cell.